[1]
Density functional theory data (PBE) for a relaxed NdIrS2 crystal.

Summary:
**V**: 23.3 Å³ per atom
**Formation energy from raw total energies**: -0.468 eV per atom
**E**: -5.94 eV per atom

Cell: 3.6939 3.6939 23.6967 Å, 90.00 90.00 120.00°
Space group R-3m (No. 166, hexagonal axes)
Inequivalent atoms, fractional coordinates:
Nd 0.0000 0.0000 0.0000 (multiplicity 3)
Ir 0.0000 0.0000 0.5000 (multiplicity 3)
S 0.0000 0.0000 0.1194 (multiplicity 6)

[2]
Density functional theory data (PBE) for a relaxed Nd6IrS5 crystal.

Summary:
**V**: 24.5 Å³ per atom
**Formation energy from raw total energies**: -1.788 eV per atom
**E**: -6.63 eV per atom

Cell: 7.1333 12.3187 7.1000 Å, 90.00 109.53 90.00°
Space group C2/m (No. 12)
Inequivalent atoms, fractional coordinates:
Nd 0.2460 0.1645 0.2460 (multiplicity 8)
Nd 0.2468 0.0000 0.7522 (multiplicity 4)
Ir 0.0000 0.0000 0.0000 (multiplicity 2)
S 0.0000 0.1700 0.5000 (multiplicity 4)
S 0.0000 0.3336 0.0000 (multiplicity 4)
S 0.0000 0.5000 0.5000 (multiplicity 2)

[3]
Density functional theory data (PBE) for a relaxed Nd2IrS crystal.

Summary:
**V**: 25.7 Å³ per atom
**Formation energy from raw total energies**: -1.167 eV per atom
**E**: -6.80 eV per atom
**Energy above the lowest structure with this stoichiometry**: 0.0 meV per atom

Cell: 4.0416 4.0416 21.8384 Å, 90.00 90.00 120.00°
Space group R3m (No. 160, hexagonal axes)
Inequivalent atoms, fractional coordinates:
Nd 0.0000 0.0000 0.0000 (multiplicity 3)
Nd 0.0000 0.0000 0.1785 (multiplicity 3)
Ir 0.0000 0.0000 0.5888 (multiplicity 3)
S 0.0000 0.0000 0.4219 (multiplicity 3)

[4]
Density functional theory data (PBE) for a relaxed NdIrS crystal.

Summary:
**V**: 22.0 Å³ per atom
**Formation energy from raw total energies**: -0.392 eV per atom
**E**: -6.31 eV per atom

Cell: 10.3872 3.7983 6.6877 Å, 90.00 90.00 90.00°
Space group Amm2 (No. 38)
Inequivalent atoms, fractional coordinates:
Nd 0.1816 0.0000 0.0000 (multiplicity 4)
Ir 0.0000 0.0000 0.6647 (multiplicity 2)
Ir 0.5000 0.0000 0.9379 (multiplicity 2)
S 0.3632 0.0000 0.6656 (multiplicity 4)

[5]
Density functional theory data (PBE) for a relaxed Nd5IrS4 crystal.

Summary:
**V**: 24.4 Å³ per atom
**Formation energy from raw total energies**: -1.717 eV per atom
**E**: -6.64 eV per atom

Cell: 4.1016 4.1016 29.0279 Å, 90.00 90.00 90.00°
Space group I4/mmm (No. 139)
Inequivalent atoms, fractional coordinates:
Nd 0.0000 0.0000 0.0000 (multiplicity 2)
Nd 0.0000 0.0000 0.2026 (multiplicity 4)
Nd 0.0000 0.0000 0.4019 (multiplicity 4)
Ir 0.0000 0.0000 0.5000 (multiplicity 2)
S 0.0000 0.0000 0.1026 (multiplicity 4)
S 0.0000 0.0000 0.3021 (multiplicity 4)

[6]
Density functional theory data (PBE) for a relaxed Nd2IrS crystal.

Summary:
**V**: 26.4 Å³ per atom
**Formation energy from raw total energies**: -0.379 eV per atom
**E**: -6.01 eV per atom
**Energy above the lowest structure with this stoichiometry**: 787.7 meV per atom

Cell: 3.6916 3.6916 26.7931 Å, 90.00 90.00 120.00°
Space group R-3m (No. 166, hexagonal axes)
Inequivalent atoms, fractional coordinates:
Nd 0.0000 0.0000 0.0985 (multiplicity 6)
Ir 0.0000 0.0000 0.0000 (multiplicity 3)
S 0.0000 0.0000 0.5000 (multiplicity 3)

[7]
Density functional theory data (PBE) for a relaxed Nd6Ir2Se3S crystal.

Summary:
**V**: 26.7 Å³ per atom
**Formation energy from raw total energies**: -1.461 eV per atom
**E**: -6.54 eV per atom

Cell: 18.6451 4.1406 8.6205 Å, 90.00 105.81 90.00°
Space group C2/m (No. 12)
Inequivalent atoms, fractional coordinates:
Nd 0.0091 0.0000 0.2482 (multiplicity 4)
Nd 0.1675 0.5000 0.1094 (multiplicity 4)
Nd 0.1711 0.5000 0.5740 (multiplicity 4)
Ir 0.1671 0.0000 0.3364 (multiplicity 4)
Se 0.0000 0.5000 0.5000 (multiplicity 2)
Se 0.1608 0.0000 0.8413 (multiplicity 4)
S 0.0000 0.5000 0.0000 (multiplicity 2)

[8]
Density functional theory data (PBE) for a relaxed Nd6Te3Ir2S crystal.

Summary:
**V**: 29.2 Å³ per atom
**Formation energy from raw total energies**: -1.271 eV per atom
**E**: -6.26 eV per atom

Cell: 19.3324 4.2450 8.9357 Å, 90.00 106.83 90.00°
Space group C2/m (No. 12)
Inequivalent atoms, fractional coordinates:
Nd 0.0134 0.0000 0.2391 (multiplicity 4)
Nd 0.1647 0.5000 0.1199 (multiplicity 4)
Nd 0.1750 0.5000 0.5635 (multiplicity 4)
Te 0.0000 0.5000 0.5000 (multiplicity 2)
Te 0.1613 0.0000 0.8414 (multiplicity 4)
Ir 0.1667 0.0000 0.3358 (multiplicity 4)
S 0.0000 0.5000 0.0000 (multiplicity 2)

[9]
Density functional theory data (PBE) for a relaxed Nd4Te2IrS crystal.

Summary:
**V**: 29.0 Å³ per atom
**Formation energy from raw total energies**: -1.378 eV per atom
**E**: -6.17 eV per atom

Cell: 7.4917 4.2314 7.7237 Å, 90.00 108.50 90.00°
Space group P2/m (No. 10)
Inequivalent atoms, fractional coordinates:
Nd 0.2269 0.0000 0.2092 (multiplicity 2)
Nd 0.2570 0.5000 0.7844 (multiplicity 2)
Te 0.0000 0.0000 0.5000 (multiplicity 1)
Te 0.5000 0.5000 0.5000 (multiplicity 1)
Ir 0.0000 0.5000 0.0000 (multiplicity 1)
S 0.5000 0.0000 0.0000 (multiplicity 1)

[10]
Density functional theory data (PBE) for a relaxed NdThIrS crystal.

Summary:
**V**: 26.1 Å³ per atom
**Formation energy from raw total energies**: -1.279 eV per atom
**E**: -7.57 eV per atom

Cell: 4.0462 4.0462 22.0512 Å, 90.00 90.00 120.00°
Space group R3m (No. 160, hexagonal axes)
Inequivalent atoms, fractional coordinates:
Nd 0.0000 0.0000 0.0000 (multiplicity 3)
Th 0.0000 0.0000 0.1826 (multiplicity 3)
Ir 0.0000 0.0000 0.5861 (multiplicity 3)
S 0.0000 0.0000 0.7598 (multiplicity 3)

[11]
Density functional theory data (PBE) for a relaxed Nd2SbIr crystal.

Summary:
**V**: 29.0 Å³ per atom
**Formation energy from raw total energies**: -0.700 eV per atom
**E**: -6.33 eV per atom
**Energy above the lowest structure with this stoichiometry**: 171.9 meV per atom

Cell: 4.3417 4.3417 21.2921 Å, 90.00 90.00 120.00°
Space group R-3m (No. 166, hexagonal axes)
Inequivalent atoms, fractional coordinates:
Nd 0.0000 0.0000 0.2400 (multiplicity 6)
Sb 0.0000 0.0000 0.0000 (multiplicity 3)
Ir 0.0000 0.0000 0.5000 (multiplicity 3)

[12]
Density functional theory data (PBE) for a relaxed Nd12Sb6Ir crystal.

Summary:
**V**: 34.9 Å³ per atom
**Formation energy from raw total energies**: -0.713 eV per atom
**E**: -5.49 eV per atom

Cell: 13.5138 13.5138 12.5824 Å, 90.00 90.00 120.00°
Space group R-3 (No. 148, hexagonal axes)
Inequivalent atoms, fractional coordinates:
Nd 0.0302 0.1969 0.3901 (multiplicity 18)
Nd 0.0624 0.1978 0.8816 (multiplicity 18)
Sb 0.0457 0.2812 0.6409 (multiplicity 18)
Ir 0.0000 0.0000 0.0000 (multiplicity 3)

[13]
Density functional theory data (PBE) for a relaxed Nd8Sb2Ir crystal.

Summary:
**V**: 31.6 Å³ per atom
**Formation energy from raw total energies**: -0.534 eV per atom
**E**: -5.56 eV per atom

Cell: 19.2559 4.6982 7.7679 Å, 90.00 98.47 90.00°
Space group C2/m (No. 12)
Inequivalent atoms, fractional coordinates:
Nd 0.0054 0.0000 0.2810 (multiplicity 4)
Nd 0.0955 0.5000 0.0130 (multiplicity 4)
Nd 0.1474 0.5000 0.5271 (multiplicity 4)
Nd 0.2148 0.0000 0.8508 (multiplicity 4)
Sb 0.1825 0.0000 0.2641 (multiplicity 4)
Ir 0.0000 0.5000 0.5000 (multiplicity 2)

[14]
Density functional theory data (PBE) for a relaxed Nd7Sb2Ir2 crystal.

Summary:
**V**: 31.8 Å³ per atom
**Formation energy from raw total energies**: -0.576 eV per atom
**E**: -5.97 eV per atom

Cell: 8.7871 11.0984 7.1707 Å, 90.00 90.00 90.00°
Space group Cmmm (No. 65)
Inequivalent atoms, fractional coordinates:
Nd 0.0000 0.0000 0.0000 (multiplicity 2)
Nd 0.0000 0.5000 0.2380 (multiplicity 4)
Nd 0.2500 0.2500 0.2515 (multiplicity 8)
Sb 0.1937 0.0000 0.5000 (multiplicity 4)
Ir 0.0000 0.2788 0.0000 (multiplicity 4)

[15]
Density functional theory data (PBE) for a relaxed NdSbIr crystal.

Summary:
**V**: 26.7 Å³ per atom
**Formation energy from raw total energies**: -0.707 eV per atom
**E**: -6.62 eV per atom

Cell: 5.4739 4.4197 6.7196 Å, 90.00 99.85 90.00°
Space group P2_1/m (No. 11)
Inequivalent atoms, fractional coordinates:
Nd 0.1821 0.2500 0.2237 (multiplicity 2)
Sb 0.2641 0.2500 0.7186 (multiplicity 2)
Ir 0.3539 0.7500 0.9483 (multiplicity 2)

[16]
Density functional theory data (PBE) for a relaxed NdSbIr crystal.

Summary:
**V**: 25.6 Å³ per atom
**Formation energy from raw total energies**: -0.642 eV per atom
**E**: -6.56 eV per atom

Cell: 5.6598 8.3045 6.5380 Å, 90.00 90.00 90.00°
Space group Imma (No. 74)
Inequivalent atoms, fractional coordinates:
Nd 0.0000 0.0000 0.0000 (multiplicity 4)
Sb 0.0000 0.2500 0.4090 (multiplicity 4)
Ir 0.2500 0.2500 0.7500 (multiplicity 4)

[17]
Density functional theory data (PBE) for a relaxed NdSbIr crystal.

Summary:
**V**: 23.6 Å³ per atom
**Formation energy from raw total energies**: -0.740 eV per atom
**E**: -6.66 eV per atom

Cell: 4.6043 4.6043 3.8603 Å, 90.00 90.00 120.00°
Space group P-6m2 (No. 187)
Inequivalent atoms, fractional coordinates:
Nd 0.0000 0.0000 0.0000 (multiplicity 1)
Sb 0.6667 0.3333 0.5000 (multiplicity 1)
Ir 0.3333 0.6667 0.5000 (multiplicity 1)

[18]
Density functional theory data (PBE) for a relaxed Nd3Sb4Ir3 crystal.

Summary:
**V**: 24.4 Å³ per atom
**Formation energy from raw total energies**: -0.741 eV per atom
**E**: -6.48 eV per atom

Cell: 9.9212 9.9212 9.9212 Å, 90.00 90.00 90.00°
Space group I-43d (No. 220)
Inequivalent atoms, fractional coordinates:
Nd 0.0000 0.2500 0.3750 (multiplicity 12)
Sb 0.0756 0.0756 0.0756 (multiplicity 16)
Ir 0.0000 0.2500 0.8750 (multiplicity 12)

[19]
Density functional theory data (PBE) for a relaxed Nd3SbIr crystal.

Summary:
**V**: 29.3 Å³ per atom
**Formation energy from raw total energies**: -0.750 eV per atom
**E**: -6.21 eV per atom

Cell: 8.1273 4.5297 8.6356 Å, 90.00 113.00 90.00°
Space group P2_1/m (No. 11)
Inequivalent atoms, fractional coordinates:
Nd 0.0464 0.2500 0.2395 (multiplicity 2)
Nd 0.3313 0.2500 0.9258 (multiplicity 2)
Nd 0.3307 0.7500 0.5895 (multiplicity 2)
Sb 0.3324 0.7500 0.2023 (multiplicity 2)
Ir 0.0767 0.2500 0.5982 (multiplicity 2)

[20]
Density functional theory data (PBE) for a relaxed Nd3Sb2Ir crystal.

Summary:
**V**: 30.6 Å³ per atom
**Formation energy from raw total energies**: -0.824 eV per atom
**E**: -6.06 eV per atom

Cell: 13.9232 6.3586 8.7253 Å, 90.00 108.23 90.00°
Space group C2/c (No. 15)
Inequivalent atoms, fractional coordinates:
Nd 0.0000 0.0882 0.2500 (multiplicity 4)
Nd 0.1515 0.4982 0.0754 (multiplicity 8)
Sb 0.1702 0.0021 0.5854 (multiplicity 8)
Ir 0.0000 0.4689 0.7500 (multiplicity 4)